[1]
The following is a DFT calculation (GGA-PBE) of a relaxed structure of Tb4Ga12Re.

a b c (Å): 7.4964 7.4964 7.4964
angles (deg): 109.47 109.47 109.47
Last column: nearest neighbours and their distance in Å.
Positions (direct):
1 Tb 0.0000 0.0000 0.5000  12 Ga 3.06-3.08
2 Tb 0.0000 0.5000 0.0000  12 Ga 3.06-3.08
3 Tb 0.5000 0.0000 0.0000  12 Ga 3.06-3.08
4 Tb 0.5000 0.5000 0.5000  12 Ga 3.06-3.08
5 Ga 0.0000 0.2919 0.2919  1 Re 2.53, 4 Ga 2.82
6 Ga 0.0000 0.7081 0.7081  1 Re 2.53, 4 Ga 2.82
7 Ga 0.2500 0.5000 0.7500  8 Ga 2.82-3.06, 4 Tb 3.06
8 Ga 0.2500 0.7500 0.5000  8 Ga 2.82-3.06, 4 Tb 3.06
9 Ga 0.2919 0.0000 0.2919  1 Re 2.53, 4 Ga 2.82
10 Ga 0.2919 0.2919 0.0000  1 Re 2.53, 4 Ga 2.82
11 Ga 0.5000 0.2500 0.7500  8 Ga 2.82-3.06, 4 Tb 3.06
12 Ga 0.5000 0.7500 0.2500  8 Ga 2.82-3.06, 4 Tb 3.06
13 Ga 0.7081 0.0000 0.7081  1 Re 2.53, 4 Ga 2.82
14 Ga 0.7081 0.7081 0.0000  1 Re 2.53, 4 Ga 2.82
15 Ga 0.7500 0.2500 0.5000  8 Ga 2.82-3.06, 4 Tb 3.06
16 Ga 0.7500 0.5000 0.2500  8 Ga 2.82-3.06, 4 Tb 3.06
17 Re 0.0000 0.0000 0.0000  6 Ga 2.53

Calculated values
**Electronic total energy**: -4.474 eV/atom
**DOS at the Fermi energy**: 9.41 states/eV/cell
**Calculated formation energy**: -515 meV per atom

[2]
The following is a DFT calculation (GGA-PBE) of a relaxed structure of SnB3Au.

a b c (Å): 4.3072 4.3072 4.3072
angles (deg): 90.00 90.00 90.00
Last column: nearest neighbours and their distance in Å.
Positions (direct):
1 Sn 0.0000 0.0000 0.0000  12 B 3.05
2 B 0.0000 0.5000 0.5000  2 Au 2.15
3 B 0.5000 0.0000 0.5000  2 Au 2.15
4 B 0.5000 0.5000 0.0000  2 Au 2.15
5 Au 0.5000 0.5000 0.5000  6 B 2.15

Calculated values
**Electronic total energy**: -3.795 eV/atom
**Offset from the most stable computed form**: 0.0 kJ per mole of atoms
**DOS at the Fermi energy**: 3.30 states/eV/cell
**Calculated formation energy**: 1667 meV per atom

[3]
The following is a DFT calculation (GGA-PBE) of a relaxed structure of ThAgAu4.

a b c (Å): 5.5907 5.5907 5.5907
angles (deg): 60.00 60.00 60.00
Last column: nearest neighbours and their distance in Å.
Positions (direct):
1 Th 0.0000 0.0000 0.0000  12 Au 3.28, 4 Ag 3.42
2 Ag 0.2500 0.2500 0.2500  12 Au 3.28, 4 Th 3.42
3 Au 0.1272 0.6243 0.6243  6 Au 2.78-2.81
4 Au 0.6243 0.1272 0.6243  6 Au 2.78-2.81
5 Au 0.6243 0.6243 0.1272  6 Au 2.78-2.81
6 Au 0.6243 0.6243 0.6243  6 Au 2.78-2.81

Calculated values
**Electronic total energy**: -4.277 eV/atom
**DOS at the Fermi energy**: 4.20 states/eV/cell
**Calculated formation energy**: -380 meV per atom

[4]
The following is a DFT calculation (GGA-PBE) of a relaxed structure of LaHoZnAu.

a b c (Å): 5.2065 5.2065 5.2065
angles (deg): 60.00 60.00 60.00
Last column: nearest neighbours and their distance in Å.
Positions (direct):
1 La 0.0000 0.0000 0.0000  4 Au 3.19, 4 Zn 3.19
2 Ho 0.5000 0.5000 0.5000  4 Zn 3.19, 4 Au 3.19
3 Zn 0.2500 0.2500 0.2500  4 La 3.19, 4 Ho 3.19
4 Au 0.7500 0.7500 0.7500  4 La 3.19, 4 Ho 3.19

Calculated values
**Electronic total energy**: -4.061 eV/atom
**Offset from the most stable computed form**: 3.0 kJ per mole of atoms
**DOS at the Fermi energy**: 1.97 states/eV/cell
**Calculated formation energy**: -547 meV per atom